Computed, not measured: LaCuAu2 after structural relaxation at the PBE-GGA level of DFT.

## Properties
* DOS at the Fermi energy: 1.8 states/eV/f.u.
* electronic total energy: -4.33 eV/atom

Cell lengths 3.770, 4.526, 5.434 Å; angles 90.00, 90.00, 90.00 degrees
Space group Pmmm (No. 47)
One atom of each set of equivalent atoms:
La 0.000 0.000 0.000 (multiplicity 1)
Cu 0.500 0.000 0.500 (multiplicity 1)
Au 0.500 0.500 0.253 (multiplicity 2)